{"formula": "YMgCdIn", "functional": "GGA-PBE", "state": "relaxed", "lattice": [[4.244, 0.000, 0.000], [0.000, 4.742, 0.000], [0.000, 0.000, 4.831]], "species": ["Y", "Mg", "Cd", "In"], "fractional_positions": [[0.000, 0.000, 0.000], [0.000, 0.500, 0.500], [0.500, 0.000, 0.500], [0.500, 0.500, 0.000]], "ef_kj_per_mol_atoms": -33.95, "relative_energy_mev_per_atom": 0}

=====

{"formula": "Pm6Nd3HoTm2", "functional": "GGA-PBE", "state": "relaxed", "lattice": [[3.141, -5.441, 0.000], [3.141, 5.441, 0.000], [-2.093, 0.000, 11.776]], "species": ["Pm", "Pm", "Pm", "Pm", "Pm", "Pm", "Nd", "Nd", "Nd", "Ho", "Tm", "Tm"], "fractional_positions": [[0.084, 0.418, 0.755], [0.248, 0.248, 0.245], [0.418, 0.084, 0.755], [0.582, 0.916, 0.245], [0.752, 0.752, 0.755], [0.916, 0.582, 0.245], [0.000, 0.000, 0.500], [0.333, 0.667, 0.500], [0.667, 0.333, 0.500], [0.500, 0.500, 0.000], [0.167, 0.833, 0.000], [0.833, 0.167, 0.000]], "ef_kj_per_mol_atoms": 1.71}

=====

{"formula": "Pm2HoNi2", "functional": "GGA-PBE", "state": "relaxed", "lattice": [[7.646, 0.000, 0.000], [0.000, 7.646, 0.000], [0.000, 0.000, 3.918]], "species": ["Pm", "Pm", "Pm", "Pm", "Ho", "Ho", "Ni", "Ni", "Ni", "Ni"], "fractional_positions": [[0.167, 0.333, 0.000], [0.333, 0.833, 0.000], [0.667, 0.167, 0.000], [0.833, 0.667, 0.000], [0.000, 0.000, 0.500], [0.500, 0.500, 0.500], [0.121, 0.621, 0.500], [0.379, 0.121, 0.500], [0.621, 0.879, 0.500], [0.879, 0.379, 0.500]], "ef_kj_per_mol_atoms": -25.74, "relative_energy_mev_per_atom": 0}

=====

{"formula": "CuSi2As", "functional": "GGA-PBE", "state": "relaxed", "lattice": [[1.489, 0.859, 8.086], [-1.489, 0.859, 8.086], [0.000, -1.719, 8.086]], "species": ["Cu", "Si", "Si", "As"], "fractional_positions": [[0.000, 0.000, 0.000], [0.260, 0.260, 0.260], [0.514, 0.514, 0.514], [0.750, 0.750, 0.750]], "relative_energy_mev_per_atom": 187}

=====

{"formula": "Pm2VGe4Pt3", "functional": "GGA-PBE", "state": "relaxed", "lattice": [[4.246, 0.000, 0.000], [0.000, 4.246, 0.000], [0.000, 0.000, 10.645]], "species": ["Pm", "Pm", "V", "Ge", "Ge", "Ge", "Ge", "Pt", "Pt", "Pt"], "fractional_positions": [[0.000, 0.500, 0.248], [0.500, 0.000, 0.752], [0.000, 0.000, 0.500], [0.000, 0.000, 0.000], [0.000, 0.500, 0.634], [0.500, 0.000, 0.366], [0.500, 0.500, 0.000], [0.000, 0.500, 0.869], [0.500, 0.000, 0.131], [0.500, 0.500, 0.500]], "ef_kj_per_mol_atoms": -79.51}

=====

{"formula": "HgHPb2", "functional": "GGA-PBE", "state": "relaxed", "lattice": [[-2.982, 2.982, 6.195], [2.982, -2.982, 6.195], [2.982, 2.982, -6.195]], "species": ["Hg", "Hg", "H", "H", "Pb", "Pb", "Pb", "Pb"], "fractional_positions": [[0.000, 0.000, 0.000], [0.750, 0.250, 0.500], [0.250, 0.750, 0.500], [0.500, 0.500, 0.000], [0.251, 0.625, 0.126], [0.375, 0.501, 0.626], [0.499, 0.125, 0.874], [0.875, 0.749, 0.374]], "relative_energy_mev_per_atom": 140}

=====

{"formula": "Ba2Cd6Pd3", "functional": "GGA-PBE", "state": "relaxed", "lattice": [[8.501, 0.000, 0.000], [-4.251, 7.362, 0.000], [0.000, 0.000, 4.571]], "species": ["Ba", "Ba", "Cd", "Cd", "Cd", "Cd", "Cd", "Cd", "Pd", "Pd", "Pd"], "fractional_positions": [[0.333, 0.667, 0.000], [0.667, 0.333, 0.000], [0.000, 0.199, 0.000], [0.000, 0.714, 0.500], [0.199, 0.000, 0.000], [0.286, 0.286, 0.500], [0.714, 0.000, 0.500], [0.801, 0.801, 0.000], [0.000, 0.383, 0.500], [0.383, 0.000, 0.500], [0.617, 0.617, 0.500]], "ef_kj_per_mol_atoms": -37.02}

=====

{"formula": "LiCdPb2", "functional": "GGA-PBE", "state": "relaxed", "lattice": [[-2.300, 2.300, 4.882], [2.300, -2.300, 4.882], [2.300, 2.300, -4.882]], "species": ["Li", "Cd", "Pb", "Pb"], "fractional_positions": [[0.000, 0.000, 0.000], [0.750, 0.250, 0.500], [0.250, 0.750, 0.500], [0.500, 0.500, 0.000]], "ef_kj_per_mol_atoms": -10.07}

=====

{"formula": "RbThP2S8", "functional": "GGA-PBE", "state": "relaxed", "lattice": [[6.214, 0.000, 0.000], [-3.107, 5.382, 0.000], [0.000, 0.000, 9.806]], "species": ["Rb", "Th", "P", "P", "S", "S", "S", "S", "S", "S", "S", "S"], "fractional_positions": [[0.000, 0.000, 0.000], [0.000, 0.000, 0.500], [0.333, 0.667, 0.737], [0.667, 0.333, 0.263], [0.004, 0.364, 0.673], [0.333, 0.667, 0.942], [0.360, 0.996, 0.673], [0.364, 0.360, 0.327], [0.636, 0.640, 0.673], [0.640, 0.004, 0.327], [0.667, 0.333, 0.058], [0.996, 0.636, 0.327]], "final_energy_ev_per_atom": -5.04}

=====

{"formula": "KPmHg", "functional": "GGA-PBE", "state": "relaxed", "lattice": [[17.262, 0.000, 0.000], [0.000, 1.955, 3.382], [0.000, -1.955, 3.382]], "species": ["K", "K", "Pm", "Pm", "Hg", "Hg"], "fractional_positions": [[0.162, 0.000, 0.000], [0.838, 0.000, 0.000], [0.371, 0.663, 0.663], [0.629, 0.663, 0.663], [0.000, 0.667, 0.667], [0.500, 0.996, 0.996]], "ef_kj_per_mol_atoms": 0.94}

=====

{"formula": "Cs2CeBr3F3", "functional": "GGA-PBE", "state": "relaxed", "lattice": [[9.073, 0.000, 0.000], [-4.536, 7.857, 0.000], [0.000, 0.000, 3.762]], "species": ["Cs", "Cs", "Ce", "Br", "Br", "Br", "F", "F", "F"], "fractional_positions": [[0.333, 0.667, 0.000], [0.667, 0.333, 0.000], [0.000, 0.000, 0.500], [0.000, 0.663, 0.500], [0.337, 0.337, 0.500], [0.663, 0.000, 0.500], [0.000, 0.162, 0.000], [0.162, 0.000, 0.000], [0.838, 0.838, 0.000]], "final_energy_ev_per_atom": -4.48}

=====

{"formula": "NaRu3Rh", "functional": "GGA-PBE", "state": "relaxed", "lattice": [[4.742, 0.000, 0.000], [0.000, 4.742, 0.000], [0.000, 0.000, 4.742]], "species": ["Na", "Ru", "Ru", "Ru", "Rh"], "fractional_positions": [[0.000, 0.000, 0.000], [0.000, 0.500, 0.500], [0.500, 0.000, 0.500], [0.500, 0.500, 0.000], [0.500, 0.500, 0.500]], "ef_kj_per_mol_atoms": 159.23, "relative_energy_mev_per_atom": 0}

=====

{"formula": "LaGe3Pd", "functional": "GGA-PBE", "state": "relaxed", "lattice": [[6.295, 0.000, 0.000], [-3.148, 5.452, 0.000], [0.000, 0.000, 6.134]], "species": ["La", "La", "Ge", "Ge", "Ge", "Ge", "Ge", "Ge", "Pd", "Pd"], "fractional_positions": [[0.333, 0.667, 0.250], [0.667, 0.333, 0.750], [0.196, 0.392, 0.750], [0.196, 0.804, 0.750], [0.392, 0.196, 0.250], [0.608, 0.804, 0.750], [0.804, 0.196, 0.250], [0.804, 0.608, 0.250], [0.000, 0.000, 0.000], [0.000, 0.000, 0.500]], "ef_kj_per_mol_atoms": -50.89}

=====

{"formula": "Pu2CuMo", "functional": "GGA-PBE", "state": "relaxed", "lattice": [[2.517, 0.000, 0.000], [0.000, 2.517, 0.000], [0.000, 0.000, 10.212]], "species": ["Pu", "Pu", "Cu", "Mo"], "fractional_positions": [[0.000, 0.000, 0.238], [0.000, 0.000, 0.762], [0.500, 0.500, 0.000], [0.500, 0.500, 0.500]], "ef_kj_per_mol_atoms": 43.98, "relative_energy_mev_per_atom": 187}

=====

{"formula": "ZrTiSnAu", "functional": "GGA-PBE", "state": "relaxed", "lattice": [[0.000, 3.416, 3.416], [3.416, 0.000, 3.416], [3.416, 3.416, 0.000]], "species": ["Zr", "Ti", "Sn", "Au"], "fractional_positions": [[0.000, 0.000, 0.000], [0.500, 0.500, 0.500], [0.750, 0.750, 0.750], [0.250, 0.250, 0.250]], "ef_kj_per_mol_atoms": -30.60}

=====

{"formula": "SrCaMg2Sn2", "functional": "GGA-PBE", "state": "relaxed", "lattice": [[4.981, 0.000, 0.000], [-2.491, 4.314, 0.000], [0.000, 0.000, 7.953]], "species": ["Sr", "Ca", "Mg", "Mg", "Sn", "Sn"], "fractional_positions": [[0.000, 0.000, 0.000], [0.000, 0.000, 0.500], [0.333, 0.667, 0.698], [0.667, 0.333, 0.302], [0.333, 0.667, 0.266], [0.667, 0.333, 0.734]], "ef_kj_per_mol_atoms": -50.61}

=====

{"formula": "Ta8Hg", "functional": "GGA-PBE", "state": "relaxed", "lattice": [[-4.908, 4.908, 1.728], [4.908, -4.908, 1.728], [4.908, 4.908, -1.728]], "species": ["Ta", "Ta", "Ta", "Ta", "Ta", "Ta", "Ta", "Ta", "Hg"], "fractional_positions": [[0.000, 0.333, 0.333], [0.000, 0.667, 0.667], [0.329, 0.329, 0.658], [0.329, 0.671, 0.000], [0.333, 0.000, 0.333], [0.667, 0.000, 0.667], [0.671, 0.329, 0.000], [0.671, 0.671, 0.342], [0.000, 0.000, 0.000]], "ef_kj_per_mol_atoms": 7.05}

=====

{"formula": "Mn2AsSe", "functional": "GGA-PBE", "state": "relaxed", "lattice": [[0.000, 3.119, 3.119], [3.119, 0.000, 3.119], [3.119, 3.119, 0.000]], "species": ["Mn", "Mn", "As", "Se"], "fractional_positions": [[0.000, 0.000, 0.000], [0.250, 0.250, 0.250], [0.750, 0.750, 0.750], [0.500, 0.500, 0.500]], "final_energy_ev_per_atom": -6.12}

=====

{"formula": "PmZnSi2", "functional": "GGA-PBE", "state": "relaxed", "lattice": [[2.579, 1.489, 3.567], [-2.579, 1.489, 3.567], [0.000, -2.978, 3.567]], "species": ["Pm", "Zn", "Si", "Si"], "fractional_positions": [[0.000, 0.000, 0.000], [0.500, 0.500, 0.500], [0.274, 0.274, 0.274], [0.726, 0.726, 0.726]], "relative_energy_mev_per_atom": 252}

=====

{"formula": "KAgI2", "functional": "GGA-PBE", "state": "relaxed", "lattice": [[2.299, 1.327, 7.955], [-2.299, 1.327, 7.955], [0.000, -2.654, 7.955]], "species": ["K", "Ag", "I", "I"], "fractional_positions": [[0.000, 0.000, 0.000], [0.168, 0.168, 0.168], [0.569, 0.569, 0.569], [0.765, 0.765, 0.765]], "final_energy_ev_per_atom": -2.54}

=====

{"formula": "DyTh2Ag2Sn2", "functional": "GGA-PBE", "state": "relaxed", "lattice": [[2.419, 1.396, 9.224], [-2.419, 1.396, 9.224], [0.000, -2.793, 9.224]], "species": ["Dy", "Th", "Th", "Ag", "Ag", "Sn", "Sn"], "fractional_positions": [[0.000, 0.000, 0.000], [0.129, 0.129, 0.129], [0.871, 0.871, 0.871], [0.397, 0.397, 0.397], [0.603, 0.603, 0.603], [0.266, 0.266, 0.266], [0.734, 0.734, 0.734]], "ef_kj_per_mol_atoms": -18.43}

=====

{"formula": "NaTa2MoBr", "functional": "GGA-PBE", "state": "relaxed", "lattice": [[4.812, 0.000, 0.000], [0.000, 4.812, 0.000], [0.000, 0.000, 4.704]], "species": ["Na", "Ta", "Ta", "Mo", "Br"], "fractional_positions": [[0.000, 0.000, 0.000], [0.000, 0.500, 0.000], [0.500, 0.000, 0.000], [0.000, 0.000, 0.500], [0.500, 0.500, 0.500]], "final_energy_ev_per_atom": -4.84}

=====

{"formula": "SrIr2Se", "functional": "GGA-PBE", "state": "relaxed", "lattice": [[1.582, 0.913, 8.893], [-1.582, 0.913, 8.893], [0.000, -1.827, 8.893]], "species": ["Sr", "Ir", "Ir", "Se"], "fractional_positions": [[0.000, 0.000, 0.000], [0.238, 0.238, 0.238], [0.762, 0.762, 0.762], [0.500, 0.500, 0.500]], "final_energy_ev_per_atom": -5.17}

=====

{"formula": "PtRhAu2", "functional": "GGA-PBE", "state": "relaxed", "lattice": [[2.873, 0.000, 0.000], [0.000, 3.958, 0.000], [0.000, 0.000, 5.820]], "species": ["Pt", "Rh", "Au", "Au"], "fractional_positions": [[0.000, 0.000, 0.000], [0.500, 0.500, 0.219], [0.000, 0.000, 0.479], [0.500, 0.500, 0.737]], "ef_kj_per_mol_atoms": 10.31, "relative_energy_mev_per_atom": 41}

=====

{"formula": "NaGaS2O8", "functional": "GGA-PBE", "state": "relaxed", "lattice": [[4.783, 0.000, 0.000], [-2.391, 4.142, 0.000], [0.000, 0.000, 7.690]], "species": ["Na", "Ga", "S", "S", "O", "O", "O", "O", "O", "O", "O", "O"], "fractional_positions": [[0.000, 0.000, 0.000], [0.000, 0.000, 0.500], [0.333, 0.667, 0.723], [0.667, 0.333, 0.277], [0.060, 0.353, 0.657], [0.294, 0.940, 0.657], [0.333, 0.667, 0.912], [0.353, 0.294, 0.343], [0.647, 0.706, 0.657], [0.667, 0.333, 0.088], [0.706, 0.060, 0.343], [0.940, 0.647, 0.343]], "relative_energy_mev_per_atom": 21}

=====

{"formula": "La2PrSi", "functional": "GGA-PBE", "state": "relaxed", "lattice": [[8.045, 0.000, 0.000], [0.000, 9.629, 0.000], [0.000, 0.000, 6.439]], "species": ["La", "La", "La", "La", "La", "La", "La", "La", "Pr", "Pr", "Pr", "Pr", "Si", "Si", "Si", "Si"], "fractional_positions": [[0.180, 0.053, 0.122], [0.180, 0.447, 0.122], [0.320, 0.553, 0.622], [0.320, 0.947, 0.622], [0.680, 0.053, 0.378], [0.680, 0.447, 0.378], [0.820, 0.553, 0.878], [0.820, 0.947, 0.878], [0.026, 0.250, 0.626], [0.474, 0.750, 0.126], [0.526, 0.250, 0.874], [0.974, 0.750, 0.374], [0.124, 0.750, 0.925], [0.376, 0.250, 0.425], [0.624, 0.750, 0.575], [0.876, 0.250, 0.075]], "relative_energy_mev_per_atom": 0}

=====

no.,Fermi-level density of states (states/eV per cell)
1,1.588
2,15.946
3,8.956
4,1.553
5,5.834
6,2.261
7,3.848
8,1.342
9,9.855
10,4.618
11,3.999
12,8.172
13,6.035
14,7.741
15,4.449
16,1.527
17,7.739
18,2.299
19,2.519
20,0.000
21,7.586
22,6.351
23,3.058
24,4.844
25,0.000
26,18.994